Record 1
Li7GaSn4 | PBE | relaxed

Computed properties:
E   -35.197 eV/cell
Space group   No. 12
Formation energy from the elements   -0.230 eV/atom
V   21.77 A^3/atom

a b c (Å): 4.9231 8.3005 7.1472
angles (deg): 80.54 69.85 72.75
Closest atoms and distances in Å follow each position.
Sites, in units of the cell vectors:
Li: 0.3532 0.5920 0.7016  5 Sn 2.78-3.10
Sn: 0.4297 0.7947 0.3460  7 Li 2.74-2.97, 1 Sn 2.92
Sn: 0.5703 0.2053 0.6540  7 Li 2.74-2.97, 1 Sn 2.92
Ga: 0.0000 0.0000 0.0000  2 Li 2.46
Li: 0.2165 0.1432 0.4239  4 Sn 2.85-2.97, 2 Li 2.95-3.13
Li: 0.9398 0.3377 0.7827  5 Sn 2.81-3.02, 1 Li 2.95, 1 Ga 2.96
Sn: 0.6964 0.6501 0.9572  8 Li 2.81-3.05, 1 Sn 2.92
Li: 0.0602 0.6623 0.2173  5 Sn 2.81-3.02, 1 Li 2.95, 1 Ga 2.96
Li: 0.6468 0.4080 0.2984  5 Sn 2.78-3.10
Sn: 0.3036 0.3499 0.0428  8 Li 2.81-3.05, 1 Sn 2.92
Li: 0.7835 0.8568 0.5761  4 Sn 2.85-2.97, 2 Li 2.95-3.13
Li: 0.5000 0.0000 0.0000  2 Ga 2.46, 2 Sn 2.74

***

Record 2
LiNiN | PBE | relaxed

Computed properties:
E   -65.773 eV/cell
Space group   No. 8
V   9.71 A^3/atom
Formation energy from raw total energies   -0.14 eV per atom

a b c (Å): 4.3198 2.7055 10.0334
angles (deg): 90.00 96.23 90.00
Closest atoms and distances in Å follow each position.
Sites, in units of the cell vectors:
Ni: 0.5461 0.5000 0.7689  3 N 1.86-1.93
Ni: 0.0402 0.0000 0.7024  3 N 1.84-1.97
Li: 0.4897 0.5000 0.0253  4 N 2.06-2.18
N: 0.3595 0.0000 0.8589  3 Ni 1.86-1.97, 1 Li 2.04
N: 0.3595 0.5000 0.3589  3 Ni 1.86-1.97, 1 Li 2.04
N: 0.7976 0.0000 0.1217  3 Ni 1.84-1.93, 3 Li 1.97-2.06
Ni: 0.5461 0.0000 0.2689  3 N 1.86-1.93
Ni: 0.0402 0.5000 0.2024  3 N 1.84-1.97
Li: 0.9500 0.5000 0.4436  2 N 1.97-2.04
Li: 0.9500 0.0000 0.9436  2 N 1.97-2.04
N: 0.7976 0.5000 0.6217  3 Ni 1.84-1.93, 3 Li 1.97-2.06
Li: 0.4897 0.0000 0.5253  4 N 2.06-2.18

***

Record 3
Y2Th2Bi5 | PBE | relaxed

Computed properties:
E   -105.417 eV/cell
Space group   No. 64
Formation energy from the elements   -0.615 eV/atom
V   32.26 A^3/atom

a b c (Å): 8.5045 9.1057 9.1057
angles (deg): 124.57 90.00 90.00
Closest atoms and distances in Å follow each position.
Sites, in units of the cell vectors:
Th: 0.5000 0.6937 0.3063  7 Bi 3.12-3.35
Th: 0.0000 0.1937 0.8063  7 Bi 3.12-3.35
Bi: 0.8464 0.5171 0.7936  3 Y 3.22-3.44, 3 Th 3.28-3.35
Th: 0.5000 0.3063 0.6937  7 Bi 3.12-3.35
Bi: 0.3464 0.7064 0.9829  3 Y 3.22-3.44, 3 Th 3.28-3.35
Th: 0.0000 0.8063 0.1937  7 Bi 3.12-3.35
Bi: 0.1536 0.2064 0.4829  3 Y 3.22-3.44, 3 Th 3.28-3.35
Y: 0.1537 0.6510 0.6510  8 Bi 3.21-3.44
Bi: 0.6536 0.2936 0.0171  3 Y 3.22-3.44, 3 Th 3.28-3.35
Bi: 0.0000 0.0000 0.0000  2 Th 3.12, 4 Y 3.21-3.23
Y: 0.3463 0.1510 0.1510  8 Bi 3.21-3.44
Y: 0.6537 0.8490 0.8490  8 Bi 3.21-3.44
Bi: 0.6536 0.0171 0.2936  3 Y 3.22-3.44, 3 Th 3.28-3.35
Bi: 0.8464 0.7936 0.5171  3 Y 3.22-3.44, 3 Th 3.28-3.35
Bi: 0.1536 0.4829 0.2064  3 Y 3.22-3.44, 3 Th 3.28-3.35
Bi: 0.5000 0.5000 0.5000  2 Th 3.12, 4 Y 3.21-3.23
Y: 0.8463 0.3490 0.3490  8 Bi 3.21-3.44
Bi: 0.3464 0.9829 0.7064  3 Y 3.22-3.44, 3 Th 3.28-3.35

***

Record 4
Nd2CdSn | PBE | relaxed

Computed properties:
E   -16.611 eV/cell
Space group   No. 123
Formation energy from the elements   -0.539 eV/atom
V   28.68 A^3/atom

a b c (Å): 4.2137 5.2174 5.2174
angles (deg): 90.00 90.00 90.00
Closest atoms and distances in Å follow each position.
Sites, in units of the cell vectors:
Cd: 0.5000 0.0000 0.0000  8 Nd 3.35, 4 Sn 3.69
Sn: 0.5000 0.5000 0.5000  8 Nd 3.35, 4 Cd 3.69
Nd: 0.0000 0.5000 0.0000  4 Cd 3.35, 4 Sn 3.35, 4 Nd 3.69
Nd: 0.0000 0.0000 0.5000  4 Cd 3.35, 4 Sn 3.35, 4 Nd 3.69

***

Record 5
Na3Zr2TiS6 | PBE | relaxed

Computed properties:
E   -71.014 eV/cell
Space group   No. 12
V   19.60 A^3/atom
Formation energy from raw total energies   -1.44 eV per atom

a b c (Å): 6.3169 6.3169 7.1251
angles (deg): 98.51 98.51 120.02
Closest atoms and distances in Å follow each position.
Sites, in units of the cell vectors:
Zr: 0.6663 0.3337 0.0000  6 S 2.61
Na: 0.1691 0.8309 0.5000  6 S 2.82-2.86
Na: 0.5000 0.5000 0.5000  6 S 2.81-2.88
S: 0.7500 0.7500 0.2211  1 Ti 2.54, 2 Zr 2.61, 2 Na 2.83
S: 0.6025 0.9265 0.7792  1 Ti 2.54, 2 Zr 2.61, 2 Na 2.81-2.82
S: 0.2500 0.2500 0.7789  1 Ti 2.54, 2 Zr 2.61, 2 Na 2.83
S: 0.0735 0.3975 0.2208  1 Ti 2.54, 2 Zr 2.61, 2 Na 2.81-2.82
Ti: 0.0000 0.0000 0.0000  6 S 2.54
S: 0.9265 0.6025 0.7792  1 Ti 2.54, 2 Zr 2.61, 2 Na 2.81-2.82
Na: 0.8309 0.1691 0.5000  6 S 2.82-2.86
Zr: 0.3337 0.6663 0.0000  6 S 2.61
S: 0.3975 0.0735 0.2208  1 Ti 2.54, 2 Zr 2.61, 2 Na 2.81-2.82

***

Record 6
NdHoTl2 | PBE | relaxed

Computed properties:
E   -15.102 eV/cell
Space group   No. 166
Formation energy from the elements   -0.256 eV/atom
V   30.48 A^3/atom

a b c (Å): 3.8039 3.8039 9.9744
angles (deg): 79.01 79.01 60.00
Closest atoms and distances in Å follow each position.
Sites, in units of the cell vectors:
Ho: 0.0000 0.0000 0.0000  6 Tl 3.22
Tl: 0.2526 0.2526 0.2422  3 Ho 3.22, 3 Nd 3.33
Nd: 0.5000 0.5000 0.5000  6 Tl 3.33
Tl: 0.7474 0.7474 0.7578  3 Ho 3.22, 3 Nd 3.33

***

Number 1: ρ 3.770 g/cm³. Number 2: ρ 4.538 g/cm³. Number 3: ρ 9.647 g/cm³. Number 4: ρ 7.522 g/cm³. Number 5: ρ 3.472 g/cm³. Number 6: ρ 9.778 g/cm³.